[1]
Below is a relaxed ZnSiNi3 crystal, with properties calculated at the PBE level.

ρ in kg/m3: 7549
Relative energy among the computed polymorphs in meV/atom: 0
Total magnetic moment in μB per cell: 0.00
Formation energy from raw total energies in eV/f.u.: -1.38
E in eV/atom: -5.085

Cell and atoms, written as CIF:
```
data_ZnSiNi3
_cell_length_a 10.688
_cell_length_b 7.663
_cell_length_c 7.792
_cell_angle_alpha 90.00
_cell_angle_beta 131.98
_cell_angle_gamma 90.00
_space_group_name_H-M_alt 'C 1 2/c 1'
_space_group_IT_number 15
_space_group_name_Hall '-C 2yc'
loop_
_atom_site_label
_atom_site_type_symbol
_atom_site_fract_x
_atom_site_fract_y
_atom_site_fract_z
Zn1 Zn 0.163 0.197 0.067
Si1 Si 0.000 0.187 0.250
Si2 Si 0.000 0.442 0.750
Ni1 Ni 0.083 0.368 0.550
Ni2 Ni 0.113 0.059 0.730
Ni3 Ni 0.228 0.385 0.390
```

---

[2]
Below is a relaxed ErUMn17 crystal, with properties calculated at the PBE level.

ρ in kg/m3: 9093
Total magnetic moment in μB per cell: 11.78
Calculated formation energy in eV per atom: 0.027
E in eV/atom: -9.012

Cell and atoms, written as CIF:
```
data_ErUMn17
_cell_length_a 8.5515
_cell_length_b 8.5515
_cell_length_c 11.5849
_cell_angle_alpha 90.00
_cell_angle_beta 90.00
_cell_angle_gamma 120.00
_space_group_name_H-M_alt 'R 3 m'
_space_group_IT_number 160
_space_group_name_Hall 'R 3 -2"'
loop_
_atom_site_label
_atom_site_type_symbol
_atom_site_fract_x
_atom_site_fract_y
_atom_site_fract_z
Er1 Er 0.0000 0.0000 0.0000
U1 U 0.0000 0.0000 0.7072
Mn1 Mn 0.0000 0.0000 0.2531
Mn2 Mn 0.0000 0.0000 0.4557
Mn3 Mn 0.9998 0.4999 0.4886
Mn4 Mn 0.0014 0.2750 0.3515
Mn5 Mn 0.0043 0.5021 0.8493
Mn6 Mn 0.0195 0.5097 0.2209
```

---

[3]
Below is a relaxed PmPuZnCo crystal, with properties calculated at the PBE level.

ρ in kg/m3: 9922
Total magnetic moment in μB per cell: 19.24
Calculated formation energy in eV per atom: -0.007
E in eV/atom: -6.873

Cell and atoms, written as CIF:
```
data_PmPuZnCo
_cell_length_a 7.004
_cell_length_b 7.004
_cell_length_c 7.004
_cell_angle_alpha 90.00
_cell_angle_beta 90.00
_cell_angle_gamma 90.00
_space_group_name_H-M_alt 'F -4 3 m'
_space_group_IT_number 216
_space_group_name_Hall 'F -4 2 3'
loop_
_atom_site_label
_atom_site_type_symbol
_atom_site_fract_x
_atom_site_fract_y
_atom_site_fract_z
Pm1 Pm 0.000 0.000 0.000
Pu1 Pu 0.000 0.000 0.500
Zn1 Zn 0.250 0.250 0.250
Co1 Co 0.250 0.250 0.750
```